A geometry-optimized Ti4NiP4O20 structure, computed with PBE+U.

a b c (Å): 7.444 7.286 14.844
angles (deg): 90.00 119.11 90.00
Sites, in units of the cell vectors:
Ti: 0.225 0.223 0.366
Ti: 0.225 0.277 0.866
Ti: 0.231 0.741 0.119
Ti: 0.231 0.759 0.619
Ti: 0.769 0.241 0.381
Ti: 0.769 0.259 0.881
Ti: 0.775 0.723 0.134
Ti: 0.775 0.777 0.634
Ni: 0.500 0.000 0.000
Ni: 0.500 0.500 0.500
P: 0.007 0.621 0.380
P: 0.007 0.879 0.880
P: 0.499 0.634 0.870
P: 0.499 0.866 0.370
P: 0.501 0.134 0.630
P: 0.501 0.366 0.130
P: 0.993 0.121 0.120
P: 0.993 0.379 0.620
O: 0.000 0.172 0.379
O: 0.000 0.328 0.879
O: 0.000 0.672 0.121
O: 0.000 0.828 0.621
O: 0.092 0.234 0.221
O: 0.092 0.266 0.721
O: 0.098 0.742 0.969
O: 0.098 0.758 0.469
O: 0.160 0.000 0.118
O: 0.160 0.500 0.618
O: 0.187 0.501 0.385
O: 0.187 0.999 0.885
O: 0.328 0.518 0.874
O: 0.328 0.982 0.374
O: 0.329 0.005 0.620
O: 0.329 0.495 0.120
O: 0.407 0.233 0.036
O: 0.407 0.267 0.536
O: 0.411 0.744 0.770
O: 0.411 0.756 0.270
O: 0.497 0.658 0.599
O: 0.497 0.842 0.099
O: 0.503 0.158 0.901
O: 0.503 0.342 0.401
O: 0.589 0.244 0.730
O: 0.589 0.256 0.230
O: 0.593 0.733 0.464
O: 0.593 0.767 0.964
O: 0.671 0.505 0.880
O: 0.671 0.995 0.380
O: 0.672 0.018 0.626
O: 0.672 0.482 0.126
O: 0.813 0.001 0.115
O: 0.813 0.499 0.615
O: 0.840 0.000 0.882
O: 0.840 0.500 0.382
O: 0.902 0.242 0.531
O: 0.902 0.258 0.031
O: 0.908 0.734 0.279
O: 0.908 0.766 0.779

Summary:
Total energy, eV per cell: -446.126